Entry 1:
Entry from Alexandria: CrCoHg2 after structural relaxation (PBE).

Structure (extended XYZ):
```
8
Lattice="3.048 0.000 0.000 0.000 4.671 0.000 0.000 0.000 9.553" Properties=species:S:1:pos:R:3 pbc="T T T"
Cr 0.000 0.000 0.000
Cr 1.524 2.336 4.776
Co 0.000 2.336 2.882
Co 1.524 0.000 7.658
Hg 0.000 0.000 5.307
Hg 0.000 2.336 7.408
Hg 1.524 0.000 2.631
Hg 1.524 2.336 0.530
```

Summary:
space-group type	No. 44
E_form	0.51	eV per atom
offset from the most stable computed form	0.145	eV/atom

***

Entry 2:
Entry from Alexandria: PmCu2TeO8 after structural relaxation (PBE).

Structure (extended XYZ):
```
12
Lattice="-3.487 3.487 3.200 3.487 -3.487 3.200 3.487 3.487 -3.200" Properties=species:S:1:pos:R:3 pbc="T T T"
Pm 0.000 0.000 0.000
Cu 0.000 0.000 3.200
Cu 0.000 3.487 1.600
Te 3.487 0.000 1.600
O 2.052 3.487 -1.259
O 1.435 0.000 1.941
O 0.000 2.347 0.176
O 3.487 2.052 1.259
O 0.000 4.626 0.176
O 0.000 1.435 4.459
O -1.140 3.487 3.024
O 1.140 3.487 3.024
```

Summary:
space-group type	No. 119
uncorrected energy	-5.59	eV/atom

***

Entry 3:
Entry from Alexandria: KRbSb4 after structural relaxation (PBE).

Structure (extended XYZ):
```
6
Lattice="0.000 4.669 4.669 4.669 0.000 4.669 4.669 4.669 0.000" Properties=species:S:1:pos:R:3 pbc="T T T"
K 0.000 0.000 0.000
Rb 7.004 7.004 7.004
Sb 3.493 3.493 3.493
Sb 5.845 5.845 3.493
Sb 5.845 3.493 5.845
Sb 3.493 5.845 5.845
```

Summary:
space-group type	No. 216
offset from the most stable computed form	0.020	eV/atom

***

Entry 4:
Entry from Alexandria: BaLa3Pt after structural relaxation (PBE).

Structure (extended XYZ):
```
20
Lattice="7.838 0.000 0.000 0.000 12.171 0.000 0.000 0.000 8.152" Properties=species:S:1:pos:R:3 pbc="T T T"
Ba 0.375 3.043 0.813
Ba 3.543 9.128 4.889
Ba 4.294 3.043 3.263
Ba 7.462 9.128 7.340
La 0.256 3.043 4.701
La 1.599 0.194 6.523
La 1.599 5.891 6.523
La 2.319 6.280 2.447
La 2.319 11.976 2.447
La 3.663 9.128 0.625
La 4.174 3.043 7.528
La 5.518 0.194 5.706
La 5.518 5.891 5.706
La 6.238 6.280 1.630
La 6.238 11.976 1.630
La 7.582 9.128 3.451
Pt 0.000 0.000 4.076
Pt 0.000 6.085 4.076
Pt 3.919 0.000 0.000
Pt 3.919 6.085 0.000
```

Summary:
space-group type	No. 62
E_form	-0.36	eV per atom
offset from the most stable computed form	0.047	eV/atom

***

Entry 5:
Entry from Alexandria: CeH2Se after structural relaxation (PBE).

Structure (extended XYZ):
```
8
Lattice="3.841 0.000 0.000 0.000 5.824 0.000 0.000 0.000 4.880" Properties=species:S:1:pos:R:3 pbc="T T T"
Ce 0.960 1.456 0.775
Ce 2.881 4.368 4.105
H 0.960 3.223 4.298
H 0.960 5.514 4.298
H 2.881 0.311 0.582
H 2.881 2.602 0.582
Se 0.960 4.368 1.772
Se 2.881 1.456 3.108
```

Summary:
space-group type	No. 59
offset from the most stable computed form	0.000	eV/atom

***

Entry 6:
Entry from Alexandria: AcCd3Ag3 after structural relaxation (PBE).

Structure (extended XYZ):
```
14
Lattice="3.960 2.286 6.195 -3.960 2.286 6.195 0.000 -4.573 6.195" Properties=species:S:1:pos:R:3 pbc="T T T"
Ac 0.000 0.000 2.532
Ac 0.000 0.000 16.054
Cd 0.000 -1.789 5.730
Cd -1.549 0.895 5.730
Cd -1.549 -0.895 12.856
Cd 1.549 0.895 5.730
Cd 1.549 -0.895 12.856
Cd 0.000 1.789 12.856
Ag -1.476 -0.852 8.151
Ag 0.000 -1.704 10.435
Ag -1.476 0.852 10.435
Ag 1.476 -0.852 8.151
Ag 0.000 1.704 8.151
Ag 1.476 0.852 10.435
```

Summary:
space-group type	No. 166
E_form	-0.15	eV per atom
offset from the most stable computed form	0.042	eV/atom

***

Entry 7:
Entry from Alexandria: In2ReTc after structural relaxation (PBE).

Structure (extended XYZ):
```
4
Lattice="3.028 0.000 0.000 0.000 3.028 0.000 0.000 0.000 8.343" Properties=species:S:1:pos:R:3 pbc="T T T"
In 0.000 0.000 0.000
In 1.514 1.514 2.757
Re 0.000 0.000 4.847
Tc 1.514 1.514 6.277
```

Summary:
space-group type	No. 99
E_form	0.19	eV per atom
offset from the most stable computed form	0.069	eV/atom

***

Entry 8:
Entry from Alexandria: UGe2Au after structural relaxation (PBE).

Structure (extended XYZ):
```
12
Lattice="4.251 0.000 0.000 -2.125 3.681 0.000 0.000 0.000 15.846" Properties=species:S:1:pos:R:3 pbc="T T T"
U 0.000 0.000 0.000
U 0.000 2.454 10.564
U 2.125 1.227 5.282
Ge 0.000 0.000 3.721
Ge 0.000 0.000 12.126
Ge 0.000 2.454 6.843
Ge 0.000 2.454 14.285
Ge 2.125 1.227 1.561
Ge 2.125 1.227 9.003
Au 0.000 0.000 7.923
Au 0.000 2.454 2.641
Au 2.125 1.227 13.205
```

Summary:
space-group type	No. 166
E_form	-0.08	eV per atom
offset from the most stable computed form	0.177	eV/atom